Material: GeSbSCl2
Method: DFT, GGA-PBE
State: optimized geometry

VASP energy: -16.42 eV for the cell shown
formation energy without anion corrections: 2.71 kJ/mol of atoms
energy above the most stable polymorph in this dataset: 0.0 meV/atom
magnetic moment: 1.25 μB/f.u.

```
GeSbSCl2
1.0
4.911 0.000 0.000
0.000 4.911 0.000
0.000 0.000 5.150
Ge Sb S Cl
1 1 1 2
Direct
0.000 0.000 0.000
0.500 0.500 0.500
0.000 0.000 0.500
0.000 0.500 0.000
0.500 0.000 0.000
```

***

Material: SiGeSCl2
Method: DFT, GGA-PBE
State: optimized geometry

VASP energy: -17.85 eV for the cell shown
formation energy without anion corrections: 0.21 kJ/mol of atoms
energy above the most stable polymorph in this dataset: 0.0 meV/atom
magnetic moment: 0.37 μB/f.u.

```
SiGeSCl2
1.0
4.737 0.000 0.000
0.000 4.737 0.000
0.000 0.000 4.806
Si Ge S Cl
1 1 1 2
Direct
0.000 0.000 0.000
0.500 0.500 0.500
0.000 0.000 0.500
0.000 0.500 0.000
0.500 0.000 0.000
```

***

Material: Sm6Ge2S3Cl
Method: DFT, GGA-PBE
State: optimized geometry

VASP energy: -70.78 eV for the cell shown
formation energy without anion corrections: -152.77 kJ/mol of atoms
magnetic moment: 0.00 μB/f.u.

```
Sm6Ge2S3Cl
1.0
8.946 -2.052 0.000
8.946 2.052 0.000
-1.820 0.000 8.066
Sm Ge S Cl
6 2 3 1
Direct
0.002 0.002 0.275
0.326 0.326 0.909
0.333 0.333 0.416
0.667 0.667 0.584
0.674 0.674 0.091
0.998 0.998 0.725
0.165 0.165 0.330
0.835 0.835 0.670
0.163 0.163 0.837
0.500 0.500 0.500
0.837 0.837 0.163
0.500 0.500 0.000
```